(1)
! Na3MgZr3S8 | Alexandria via LeMat-Bulk | PBE | relaxed; values from VASP
&SYSTEM
  ibrav = 0, nat = 15, ntyp = 4
/
ATOMIC_SPECIES
Na 22.99 Na.upf
Mg 24.30 Mg.upf
Zr 91.22 Zr.upf
S 32.06 S.upf
CELL_PARAMETERS angstrom
7.4361 0.0006 0.0001
-3.7176 6.4441 -0.0268
-0.0002 -4.2749 6.8005
ATOMIC_POSITIONS crystal
Na 0.0000 0.0000 0.0000
Na 0.0000 0.5000 0.0000
Na 0.5000 0.5000 0.0000
Mg 0.0000 0.0000 0.5000
Zr 0.5000 0.0000 0.5000
Zr 0.5000 0.5000 0.5000
Zr 0.0000 0.5000 0.5000
S 0.2589 0.5180 0.2771
S 0.7411 0.4820 0.7229
S 0.7596 0.5194 0.2848
S 0.2404 0.4806 0.7152
S 0.7595 0.0248 0.2848
S 0.2405 0.9752 0.7152
S 0.2654 0.0249 0.2847
S 0.7346 0.9751 0.7153
! Symmetry: C2/m (12)
! Magnetic moment, μB per cell: 0.00
! Density, g cm⁻³: 3.19
! Energy relative to the elements, uncorrected, eV/atom: -1.468

---

(2)
! NaMgSb | Alexandria via LeMat-Bulk | PBE | relaxed; values from VASP
&SYSTEM
  ibrav = 0, nat = 6, ntyp = 3
/
ATOMIC_SPECIES
Na 22.99 Na.upf
Mg 24.30 Mg.upf
Sb 121.76 Sb.upf
CELL_PARAMETERS angstrom
4.6643 0.0000 0.0000
0.0000 4.6643 0.0000
0.0000 0.0000 7.7100
ATOMIC_POSITIONS crystal
Na 0.5000 0.0000 0.3571
Na 0.0000 0.5000 0.6429
Mg 0.5000 0.5000 0.0000
Mg 0.0000 0.0000 0.0000
Sb 0.5000 0.0000 0.7726
Sb 0.0000 0.5000 0.2274
! Symmetry: P4/nmm (129)
! Magnetic moment, μB per cell: 0.00
! Density, g cm⁻³: 3.35
! Energy relative to the elements, uncorrected, eV/atom: -0.515

---

(3)
! Na2MgSb | Alexandria via LeMat-Bulk | PBE | relaxed; values from VASP
&SYSTEM
  ibrav = 0, nat = 8, ntyp = 3
/
ATOMIC_SPECIES
Sb 121.76 Sb.upf
Mg 24.30 Mg.upf
Na 22.99 Na.upf
CELL_PARAMETERS angstrom
9.1320 0.0000 0.0000
0.0000 9.1320 0.0000
4.5660 4.5660 3.0105
ATOMIC_POSITIONS crystal
Sb 0.0000 0.0000 0.0000
Sb 0.7500 0.2500 0.5000
Mg 0.5000 0.5000 0.0000
Mg 0.2500 0.7500 0.5000
Na 0.6639 0.1250 0.2500
Na 0.0861 0.6250 0.2500
Na 0.3750 0.3361 0.7500
Na 0.8750 0.9139 0.7500
! Symmetry: I-42d (122)
! Distance to the lowest polymorph of the same formula, meV/atom: 148
! Magnetic moment, μB per cell: 0.00
! Density, g cm⁻³: 2.54
! Energy relative to the elements, uncorrected, eV/atom: -0.023

---

(4)
! Na2Mg2Sb3 | Alexandria via LeMat-Bulk | PBE | relaxed; values from VASP
&SYSTEM
  ibrav = 0, nat = 7, ntyp = 3
/
ATOMIC_SPECIES
Na 22.99 Na.upf
Mg 24.30 Mg.upf
Sb 121.76 Sb.upf
CELL_PARAMETERS angstrom
4.3258 -0.0065 0.0031
-2.1526 6.4109 0.0901
-0.0011 -1.0701 8.0193
ATOMIC_POSITIONS crystal
Na 0.8587 0.7169 0.6482
Na 0.1413 0.2831 0.3518
Mg 0.6547 0.3101 0.9885
Mg 0.3453 0.6899 0.0115
Sb 0.0000 0.0000 0.0000
Sb 0.8270 0.6543 0.2562
Sb 0.1730 0.3457 0.7438
! Symmetry: C2/m (12)
! Magnetic moment, μB per cell: 0.00
! Density, g cm⁻³: 3.43
! Energy relative to the elements, uncorrected, eV/atom: -0.308

---

(5)
! Na3MgSb | Alexandria via LeMat-Bulk | PBE | relaxed; values from VASP
&SYSTEM
  ibrav = 0, nat = 5, ntyp = 3
/
ATOMIC_SPECIES
Sb 121.76 Sb.upf
Mg 24.30 Mg.upf
Na 22.99 Na.upf
CELL_PARAMETERS angstrom
-5.5528 0.1490 0.6472
-0.4744 -4.7037 -2.9874
0.4648 -3.0212 4.6831
ATOMIC_POSITIONS crystal
Sb 0.5000 0.5000 0.5000
Mg 0.0000 0.0000 0.0000
Na 0.0000 0.5000 0.0000
Na 0.0000 0.0000 0.5000
Na 0.5000 0.0000 0.0000
! Symmetry: Pm-3m (221)
! Distance to the lowest polymorph of the same formula, meV/atom: 440
! Magnetic moment, μB per cell: 0.00
! Density, g cm⁻³: 2.04
! Energy relative to the elements, uncorrected, eV/atom: 0.370

---

(6)
! Na2MgSb2 | Alexandria via LeMat-Bulk | PBE | relaxed; values from VASP
&SYSTEM
  ibrav = 0, nat = 10, ntyp = 3
/
ATOMIC_SPECIES
Sb 121.76 Sb.upf
Mg 24.30 Mg.upf
Na 22.99 Na.upf
CELL_PARAMETERS angstrom
9.2646 0.0000 0.0000
0.0000 9.2646 0.0000
0.0000 0.0000 3.1533
ATOMIC_POSITIONS crystal
Sb 0.1836 0.6836 0.5000
Sb 0.6836 0.8164 0.5000
Sb 0.8164 0.3164 0.5000
Sb 0.3164 0.1836 0.5000
Mg 0.0000 0.0000 0.0000
Mg 0.5000 0.5000 0.0000
Na 0.3846 0.8846 0.0000
Na 0.8846 0.6154 0.0000
Na 0.6154 0.1154 0.0000
Na 0.1154 0.3846 0.0000
! Symmetry: P4/mbm (127)
! Distance to the lowest polymorph of the same formula, meV/atom: 218
! Magnetic moment, μB per cell: 0.00
! Density, g cm⁻³: 3.85
! Energy relative to the elements, uncorrected, eV/atom: -0.123